TbTh2Pd9 PBE-GGA relaxed; theoretical density = 11.895 g cm⁻³; energy of formation = -951 meV/atom; final energy = -6.47 eV/atom
1.0
4.194 0.000 0.000
0.000 4.194 0.000
0.000 0.000 12.548
Tb Th Pd
1 2 9
direct
0.000 0.000 0.000 Tb
0.000 0.000 0.329 Th
0.000 0.000 0.671 Th
0.000 0.500 0.165 Pd
0.000 0.500 0.500 Pd
0.000 0.500 0.835 Pd
0.500 0.000 0.165 Pd
0.500 0.000 0.500 Pd
0.500 0.000 0.835 Pd
0.500 0.500 0.000 Pd
0.500 0.500 0.333 Pd
0.500 0.500 0.667 Pd